This record from Alexandria via LeMat-Bulk describes crystalline Ca2Te at its relaxed geometry. The functional is PBE-GGA.

Results
E_tot: -16.1 eV per cell
Space group: Fd-3m
Magnetic moment: 0.00 μB per formula unit

Cell lengths 6.667, 6.667, 6.667 Å; angles 60.00, 60.00, 60.00 degrees
Fractional positions:
Ca: 0.000 0.000 0.000
Ca: 0.000 0.000 0.500
Ca: 0.000 0.500 0.000
Ca: 0.500 0.000 0.000
Te: 0.375 0.375 0.375
Te: 0.625 0.625 0.625